No. 1
Density functional theory data (PBE) for crystalline Cd5Ag5Au2 at its relaxed geometry.

Summary:
Crystal system ... monoclinic
Formation energy ... -0.070 eV per atom
Offset from the most stable computed form ... 0 meV/atom
Uncorrected energy ... -2.19 eV/atom
Fermi-level density of states ... 0.220 states/eV per atom

CIF file:
```
data_Cd5Ag5Au2
_space_group_name_H-M_alt 'C 1 2/m 1'
_space_group_IT_number 12
_space_group_name_Hall '-C 2y'
_cell_length_a 13.703
_cell_length_b 4.881
_cell_length_c 8.079
_cell_angle_alpha 90.00
_cell_angle_beta 121.39
_cell_angle_gamma 90.00
loop_
_atom_site_label
_atom_site_fract_x
_atom_site_fract_y
_atom_site_fract_z
_atom_site_occupancy
Cd1 0.000 0.000 0.000 1
Cd2 0.087 0.000 0.422 1
Cd3 0.246 0.500 0.756 1
Ag1 0.000 0.500 0.500 1
Ag2 0.085 0.500 0.921 1
Ag3 0.164 0.500 0.332 1
Au1 0.161 0.000 0.827 1
```



No. 2
Density functional theory data (PBE) for crystalline Er2TmAgC at its relaxed geometry.

Summary:
Crystal system ... tetragonal
Formation energy ... -0.248 eV per atom
Uncorrected energy ... -5.38 eV/atom
Fermi-level density of states ... 1.324 states/eV per atom

CIF file:
```
data_Er2TmAgC
_space_group_name_H-M_alt 'P 4/m m m'
_space_group_IT_number 123
_space_group_name_Hall '-P 4 2'
_cell_length_a 4.856
_cell_length_b 4.856
_cell_length_c 4.788
_cell_angle_alpha 90.00
_cell_angle_beta 90.00
_cell_angle_gamma 90.00
loop_
_atom_site_label
_atom_site_fract_x
_atom_site_fract_y
_atom_site_fract_z
_atom_site_occupancy
Er1 0.000 0.500 0.000 1
Tm1 0.000 0.000 0.500 1
Ag1 0.500 0.500 0.500 1
C1 0.000 0.000 0.000 1
```



No. 3
Density functional theory data (PBE) for crystalline Li3Fe at its relaxed geometry.

Summary:
Crystal system ... hexagonal
Formation energy ... 0.407 eV per atom
Uncorrected energy ... -3.14 eV/atom
Fermi-level density of states ... 1.095 states/eV per atom

CIF file:
```
data_Li3Fe
_space_group_name_H-M_alt 'P 63/m m c'
_space_group_IT_number 194
_space_group_name_Hall '-P 6c 2c'
_cell_length_a 5.5847
_cell_length_b 5.5847
_cell_length_c 4.5576
_cell_angle_alpha 90.00
_cell_angle_beta 90.00
_cell_angle_gamma 120.00
loop_
_atom_site_label
_atom_site_fract_x
_atom_site_fract_y
_atom_site_fract_z
_atom_site_occupancy
Li1 0.1721 0.3442 0.2500 1
Fe1 0.3333 0.6667 0.7500 1
```



No. 4
Density functional theory data (PBE) for crystalline TcSF2 at its relaxed geometry.

Summary:
Energy relative to the elements, uncorrected ... -2.6 eV per formula unit
Crystal system ... trigonal
Offset from the most stable computed form ... 548 meV/atom
Uncorrected energy ... -5.22 eV/atom
Fermi-level density of states ... 0.617 states/eV per atom

CIF file:
```
data_TcSF2
_space_group_name_H-M_alt 'R -3 m'
_space_group_IT_number 166
_space_group_name_Hall '-R 3 2"'
_cell_length_a 2.6741
_cell_length_b 2.6741
_cell_length_c 30.7928
_cell_angle_alpha 90.00
_cell_angle_beta 90.00
_cell_angle_gamma 120.00
loop_
_atom_site_label
_atom_site_fract_x
_atom_site_fract_y
_atom_site_fract_z
_atom_site_occupancy
Tc1 0.0000 0.0000 0.0000 1
S1 0.0000 0.0000 0.5000 1
F1 0.0000 0.0000 0.0609 1
```



No. 5
Density functional theory data (PBE) for crystalline MgZnTeN2 at its relaxed geometry.

Summary:
Energy relative to the elements, uncorrected ... 5.6 eV per formula unit
Crystal system ... tetragonal
Offset from the most stable computed form ... 0 meV/atom
Uncorrected energy ... -3.41 eV/atom
Fermi-level density of states ... 0.263 states/eV per atom

CIF file:
```
data_MgZnTeN2
_space_group_name_H-M_alt 'P 4/m m m'
_space_group_IT_number 123
_space_group_name_Hall '-P 4 2'
_cell_length_a 4.037
_cell_length_b 4.037
_cell_length_c 6.018
_cell_angle_alpha 90.00
_cell_angle_beta 90.00
_cell_angle_gamma 90.00
loop_
_atom_site_label
_atom_site_fract_x
_atom_site_fract_y
_atom_site_fract_z
_atom_site_occupancy
Mg1 0.000 0.000 0.000 1
Zn1 0.500 0.500 0.500 1
Te1 0.500 0.500 0.000 1
N1 0.000 0.500 0.500 1
```



No. 6
Density functional theory data (PBE) for crystalline SrMg2HgAu2 at its relaxed geometry.

Summary:
Crystal system ... trigonal
Formation energy ... -0.536 eV per atom
Uncorrected energy ... -2.49 eV/atom
Fermi-level density of states ... 0.514 states/eV per atom

CIF file:
```
data_SrMg2HgAu2
_space_group_name_H-M_alt 'P -3 m 1'
_space_group_IT_number 164
_space_group_name_Hall '-P 3 2"'
_cell_length_a 4.7621
_cell_length_b 4.7621
_cell_length_c 7.2131
_cell_angle_alpha 90.00
_cell_angle_beta 90.00
_cell_angle_gamma 120.00
loop_
_atom_site_label
_atom_site_fract_x
_atom_site_fract_y
_atom_site_fract_z
_atom_site_occupancy
Sr1 0.0000 0.0000 0.0000 1
Mg1 0.3333 0.6667 0.6603 1
Hg1 0.0000 0.0000 0.5000 1
Au1 0.3333 0.6667 0.2655 1
```



No. 7
Density functional theory data (PBE) for crystalline NaDySc2Te4 at its relaxed geometry.

Summary:
Energy relative to the elements, uncorrected ... -9.6 eV per formula unit
Crystal system ... monoclinic
Uncorrected energy ... -5.09 eV/atom
Fermi-level density of states ... 0.511 states/eV per atom

CIF file:
```
data_NaDySc2Te4
_space_group_name_H-M_alt 'P 1 2/m 1'
_space_group_IT_number 10
_space_group_name_Hall '-P 2y'
_cell_length_a 7.412
_cell_length_b 4.236
_cell_length_c 7.488
_cell_angle_alpha 90.00
_cell_angle_beta 108.70
_cell_angle_gamma 90.00
loop_
_atom_site_label
_atom_site_fract_x
_atom_site_fract_y
_atom_site_fract_z
_atom_site_occupancy
Na1 0.000 0.000 0.000 1
Dy1 0.500 0.500 0.000 1
Sc1 0.000 0.500 0.500 1
Sc2 0.500 0.000 0.500 1
Te1 0.245 0.000 0.737 1
Te2 0.258 0.500 0.266 1
```



No. 8
Density functional theory data (PBE) for crystalline Cs15KAu6 at its relaxed geometry.

Summary:
Crystal system ... cubic
Formation energy ... -0.178 eV per atom
Uncorrected energy ... -1.70 eV/atom
Fermi-level density of states ... 0.883 states/eV per atom

CIF file:
```
data_Cs15KAu6
_space_group_name_H-M_alt 'I m -3 m'
_space_group_IT_number 229
_space_group_name_Hall '-I 4 2 3'
_cell_length_a 14.833
_cell_length_b 14.833
_cell_length_c 14.833
_cell_angle_alpha 90.00
_cell_angle_beta 90.00
_cell_angle_gamma 90.00
loop_
_atom_site_label
_atom_site_fract_x
_atom_site_fract_y
_atom_site_fract_z
_atom_site_occupancy
Cs1 0.000 0.000 0.500 1
Cs2 0.000 0.241 0.241 1
K1 0.000 0.000 0.000 1
Au1 0.000 0.000 0.247 1
```